Here is crystalline Ac5UGe6 at its relaxed geometry from Alexandria. Energies are from PBE.

Lattice parameters (Å, degrees): 7.8344 7.8344 7.8136 99.76 99.76 120.59
Atoms (fractional coordinates):
Ac1 0.0000 0.0000 0.0000
Ac2 0.1644 0.8356 0.5000
Ac3 0.3243 0.6757 0.0000
Ac4 0.6757 0.3243 0.0000
Ac5 0.8356 0.1644 0.5000
U1 0.5000 0.5000 0.5000
Ge1 0.1235 0.4266 0.2717
Ge2 0.2832 0.2832 0.7356
Ge3 0.4266 0.1235 0.2717
Ge4 0.5734 0.8765 0.7283
Ge5 0.7168 0.7168 0.2644
Ge6 0.8765 0.5734 0.7283

N(E_F) in states/eV/atom: 1.4693
Volume in Å³/atom: 32.33
DFT formation energy in eV per atom: -0.47